Here is a relaxed structure of Cd2SiTe from Alexandria. Energies are from PBE.

Geometry as CIF:
```
data_Cd2SiTe
_chemical_formula_sum 'Cd2 Si1 Te1'
_symmetry_space_group_name_H-M 'P 4 m m'
_symmetry_Int_Tables_number 99
_symmetry_space_group_name_Hall 'P 4 -2'
_cell_length_a 3.570
_cell_length_b 3.570
_cell_length_c 7.560
_cell_angle_alpha 90.00
_cell_angle_beta 90.00
_cell_angle_gamma 90.00
loop_
_atom_site_label
_atom_site_fract_x
_atom_site_fract_y
_atom_site_fract_z
Cd1 0.000 0.000 0.000
Cd2 0.500 0.500 0.240
Si1 0.000 0.000 0.504
Te1 0.500 0.500 0.679
```

Summary:
uncorrected energy = -2.3316 eV/atom
density of states at the Fermi level = 1.02 states/eV per cell
uncorrected formation energy = 0.267 eV/atom


Here is a relaxed structure of Cd2SiTe from Alexandria. Energies are from PBE.

Geometry as CIF:
```
data_Cd2SiTe
_chemical_formula_sum 'Cd4 Si2 Te2'
_symmetry_space_group_name_H-M 'C m m m'
_symmetry_Int_Tables_number 65
_symmetry_space_group_name_Hall '-C 2 2'
_cell_length_a 5.928
_cell_length_b 8.239
_cell_length_c 3.966
_cell_angle_alpha 90.00
_cell_angle_beta 90.00
_cell_angle_gamma 90.00
loop_
_atom_site_label
_atom_site_fract_x
_atom_site_fract_y
_atom_site_fract_z
Cd1 0.250 0.250 0.000
Si1 0.000 0.000 0.500
Te1 0.000 0.500 0.500
```

Summary:
uncorrected energy = -2.2833 eV/atom
density of states at the Fermi level = 3.34 states/eV per cell
uncorrected formation energy = 0.315 eV/atom


Here is a relaxed structure of CdSiTe2 from Alexandria. Energies are from PBE.

Geometry as CIF:
```
data_CdSiTe2
_chemical_formula_sum 'Cd1 Si1 Te2'
_symmetry_space_group_name_H-M 'P 1 m 1'
_symmetry_Int_Tables_number 6
_symmetry_space_group_name_Hall 'P -2y'
_cell_length_a 4.371
_cell_length_b 5.829
_cell_length_c 4.397
_cell_angle_alpha 90.00
_cell_angle_beta 95.46
_cell_angle_gamma 90.00
loop_
_atom_site_label
_atom_site_fract_x
_atom_site_fract_y
_atom_site_fract_z
Cd1 0.000 0.000 0.000
Si1 0.469 0.500 0.530
Te1 0.441 0.000 0.560
Te2 0.888 0.500 0.117
```

Summary:
uncorrected energy = -3.1965 eV/atom
density of states at the Fermi level = 0.24 states/eV per cell
uncorrected formation energy = -0.041 eV/atom


Here is a relaxed structure of Cd2SiTe4 from Alexandria. Energies are from PBE.

Geometry as CIF:
```
data_Cd2SiTe4
_chemical_formula_sum 'Cd4 Si2 Te8'
_symmetry_space_group_name_H-M 'I -4 2 m'
_symmetry_Int_Tables_number 121
_symmetry_space_group_name_Hall 'I -4 2'
_cell_length_a 7.001
_cell_length_b 7.001
_cell_length_c 10.358
_cell_angle_alpha 90.00
_cell_angle_beta 90.00
_cell_angle_gamma 90.00
loop_
_atom_site_label
_atom_site_fract_x
_atom_site_fract_y
_atom_site_fract_z
Cd1 0.000 0.500 0.000
Si1 0.000 0.000 0.000
Te1 0.212 0.212 0.141
```

Summary:
uncorrected energy = -3.0524 eV/atom
uncorrected formation energy = -0.221 eV/atom


Here is a relaxed structure of Cd2SiTe from Alexandria. Energies are from PBE.

Geometry as CIF:
```
data_Cd2SiTe
_chemical_formula_sum 'Cd4 Si2 Te2'
_symmetry_space_group_name_H-M 'I m m m'
_symmetry_Int_Tables_number 71
_symmetry_space_group_name_Hall '-I 2 2'
_cell_length_a 3.839
_cell_length_b 5.168
_cell_length_c 9.577
_cell_angle_alpha 90.00
_cell_angle_beta 90.00
_cell_angle_gamma 90.00
loop_
_atom_site_label
_atom_site_fract_x
_atom_site_fract_y
_atom_site_fract_z
Cd1 0.000 0.000 0.228
Si1 0.000 0.500 0.500
Te1 0.000 0.500 0.000
```

Summary:
uncorrected energy = -2.2821 eV/atom
density of states at the Fermi level = 3.44 states/eV per cell
uncorrected formation energy = 0.317 eV/atom


Here is a relaxed structure of CdSiTe2 from Alexandria. Energies are from PBE.

Geometry as CIF:
```
data_CdSiTe2
_chemical_formula_sum 'Cd3 Si3 Te6'
_symmetry_space_group_name_H-M 'R -3 m'
_symmetry_Int_Tables_number 166
_symmetry_space_group_name_Hall '-R 3 2"'
_cell_length_a 3.6732
_cell_length_b 3.6732
_cell_length_c 29.6577
_cell_angle_alpha 90.00
_cell_angle_beta 90.00
_cell_angle_gamma 120.00
loop_
_atom_site_label
_atom_site_fract_x
_atom_site_fract_y
_atom_site_fract_z
Cd1 0.0000 0.0000 0.0000
Si1 0.0000 0.0000 0.5000
Te1 0.0000 0.0000 0.4038
```

Summary:
uncorrected energy = -2.6900 eV/atom
density of states at the Fermi level = 6.23 states/eV per cell
uncorrected formation energy = 0.465 eV/atom


Here is a relaxed structure of CdSiTe2 from Alexandria. Energies are from PBE.

Geometry as CIF:
```
data_CdSiTe2
_chemical_formula_sum 'Cd4 Si4 Te8'
_symmetry_space_group_name_H-M 'I -4 2 d'
_symmetry_Int_Tables_number 122
_symmetry_space_group_name_Hall 'I -4 2bw'
_cell_length_a 6.240
_cell_length_b 6.240
_cell_length_c 14.543
_cell_angle_alpha 90.00
_cell_angle_beta 90.00
_cell_angle_gamma 90.00
loop_
_atom_site_label
_atom_site_fract_x
_atom_site_fract_y
_atom_site_fract_z
Cd1 0.000 0.000 0.000
Si1 0.000 0.000 0.500
Te1 0.235 0.250 0.625
```

Summary:
uncorrected energy = -3.0795 eV/atom
density of states at the Fermi level = 2.21 states/eV per cell
uncorrected formation energy = 0.076 eV/atom


Here is a relaxed structure of CdSiTe3 from Alexandria. Energies are from PBE.

Geometry as CIF:
```
data_CdSiTe3
_chemical_formula_sum 'Cd1 Si1 Te3'
_symmetry_space_group_name_H-M 'P m -3 m'
_symmetry_Int_Tables_number 221
_symmetry_space_group_name_Hall '-P 4 2 3'
_cell_length_a 5.533
_cell_length_b 5.533
_cell_length_c 5.533
_cell_angle_alpha 90.00
_cell_angle_beta 90.00
_cell_angle_gamma 90.00
loop_
_atom_site_label
_atom_site_fract_x
_atom_site_fract_y
_atom_site_fract_z
Cd1 0.000 0.000 0.000
Si1 0.500 0.500 0.500
Te1 0.000 0.000 0.500
```

Summary:
uncorrected energy = -2.3004 eV/atom
density of states at the Fermi level = 3.62 states/eV per cell
uncorrected formation energy = 0.852 eV/atom


Here is a relaxed structure of Cd2SiTe from Alexandria. Energies are from PBE.

Geometry as CIF:
```
data_Cd2SiTe
_chemical_formula_sum 'Cd6 Si3 Te3'
_symmetry_space_group_name_H-M 'R -3 m'
_symmetry_Int_Tables_number 166
_symmetry_space_group_name_Hall '-R 3 2"'
_cell_length_a 3.0360
_cell_length_b 3.0360
_cell_length_c 36.6384
_cell_angle_alpha 90.00
_cell_angle_beta 90.00
_cell_angle_gamma 120.00
loop_
_atom_site_label
_atom_site_fract_x
_atom_site_fract_y
_atom_site_fract_z
Cd1 0.0000 0.0000 0.2413
Si1 0.0000 0.0000 0.5000
Te1 0.0000 0.0000 0.0000
```

Summary:
uncorrected energy = -2.2511 eV/atom
density of states at the Fermi level = 4.78 states/eV per cell
uncorrected formation energy = 0.348 eV/atom


Here is a relaxed structure of Cd2SiTe from Alexandria. Energies are from PBE.

Geometry as CIF:
```
data_Cd2SiTe
_chemical_formula_sum 'Cd6 Si3 Te3'
_symmetry_space_group_name_H-M 'R 3 m'
_symmetry_Int_Tables_number 160
_symmetry_space_group_name_Hall 'R 3 -2"'
_cell_length_a 3.8411
_cell_length_b 3.8411
_cell_length_c 23.7241
_cell_angle_alpha 90.00
_cell_angle_beta 90.00
_cell_angle_gamma 120.00
loop_
_atom_site_label
_atom_site_fract_x
_atom_site_fract_y
_atom_site_fract_z
Cd1 0.0000 0.0000 0.0000
Cd2 0.0000 0.0000 0.2479
Si1 0.0000 0.0000 0.5018
Te1 0.0000 0.0000 0.7674
```

Summary:
uncorrected energy = -2.4233 eV/atom
density of states at the Fermi level = 6.88 states/eV per cell
uncorrected formation energy = 0.175 eV/atom


Here is a relaxed structure of Cd2SiTe from Alexandria. Energies are from PBE.

Geometry as CIF:
```
data_Cd2SiTe
_chemical_formula_sum 'Cd2 Si1 Te1'
_symmetry_space_group_name_H-M 'P 1 2/m 1'
_symmetry_Int_Tables_number 10
_symmetry_space_group_name_Hall '-P 2y'
_cell_length_a 3.060
_cell_length_b 3.856
_cell_length_c 8.134
_cell_angle_alpha 90.00
_cell_angle_beta 90.01
_cell_angle_gamma 90.00
loop_
_atom_site_label
_atom_site_fract_x
_atom_site_fract_y
_atom_site_fract_z
Cd1 0.003 0.000 0.290
Si1 0.500 0.500 0.500
Te1 0.000 0.500 0.000
```

Summary:
uncorrected energy = -2.4116 eV/atom
density of states at the Fermi level = 1.34 states/eV per cell
uncorrected formation energy = 0.187 eV/atom


Here is a relaxed structure of Cd2SiTe from Alexandria. Energies are from PBE.

Geometry as CIF:
```
data_Cd2SiTe
_chemical_formula_sum 'Cd4 Si2 Te2'
_symmetry_space_group_name_H-M 'C m m m'
_symmetry_Int_Tables_number 65
_symmetry_space_group_name_Hall '-C 2 2'
_cell_length_a 4.184
_cell_length_b 5.426
_cell_length_c 8.426
_cell_angle_alpha 90.00
_cell_angle_beta 90.00
_cell_angle_gamma 90.00
loop_
_atom_site_label
_atom_site_fract_x
_atom_site_fract_y
_atom_site_fract_z
Cd1 0.000 0.000 0.217
Si1 0.000 0.500 0.000
Te1 0.000 0.500 0.500
```

Summary:
uncorrected energy = -2.2930 eV/atom
density of states at the Fermi level = 2.92 states/eV per cell
uncorrected formation energy = 0.306 eV/atom


Here is a relaxed structure of CdSi2Te from Alexandria. Energies are from PBE.

Geometry as CIF:
```
data_CdSi2Te
_chemical_formula_sum 'Cd3 Si6 Te3'
_symmetry_space_group_name_H-M 'R -3 m'
_symmetry_Int_Tables_number 166
_symmetry_space_group_name_Hall '-R 3 2"'
_cell_length_a 3.8134
_cell_length_b 3.8134
_cell_length_c 21.5277
_cell_angle_alpha 90.00
_cell_angle_beta 90.00
_cell_angle_gamma 120.00
loop_
_atom_site_label
_atom_site_fract_x
_atom_site_fract_y
_atom_site_fract_z
Cd1 0.0000 0.0000 0.0000
Si1 0.0000 0.0000 0.2485
Te1 0.0000 0.0000 0.5000
```

Summary:
uncorrected energy = -3.3189 eV/atom
density of states at the Fermi level = 3.19 states/eV per cell
uncorrected formation energy = 0.407 eV/atom


Here is a relaxed structure of CdSi2Te from Alexandria. Energies are from PBE.

Geometry as CIF:
```
data_CdSi2Te
_chemical_formula_sum 'Cd2 Si4 Te2'
_symmetry_space_group_name_H-M 'C 1 2/m 1'
_symmetry_Int_Tables_number 12
_symmetry_space_group_name_Hall '-C 2y'
_cell_length_a 10.368
_cell_length_b 3.595
_cell_length_c 7.183
_cell_angle_alpha 90.00
_cell_angle_beta 130.59
_cell_angle_gamma 90.00
loop_
_atom_site_label
_atom_site_fract_x
_atom_site_fract_y
_atom_site_fract_z
Cd1 0.000 0.000 0.000
Si1 0.241 0.000 0.872
Te1 0.000 0.500 0.500
```

Summary:
uncorrected energy = -3.3631 eV/atom
density of states at the Fermi level = 4.32 states/eV per cell
uncorrected formation energy = 0.363 eV/atom


Here is a relaxed structure of CdSiTe2 from Alexandria. Energies are from PBE.

Geometry as CIF:
```
data_CdSiTe2
_chemical_formula_sum 'Cd4 Si4 Te8'
_symmetry_space_group_name_H-M 'F m -3 m'
_symmetry_Int_Tables_number 225
_symmetry_space_group_name_Hall '-F 4 2 3'
_cell_length_a 7.353
_cell_length_b 7.353
_cell_length_c 7.353
_cell_angle_alpha 90.00
_cell_angle_beta 90.00
_cell_angle_gamma 90.00
loop_
_atom_site_label
_atom_site_fract_x
_atom_site_fract_y
_atom_site_fract_z
Cd1 0.000 0.000 0.000
Si1 0.000 0.000 0.500
Te1 0.250 0.250 0.250
```

Summary:
uncorrected energy = -2.8310 eV/atom
density of states at the Fermi level = 6.88 states/eV per cell
uncorrected formation energy = 0.324 eV/atom


Here is a relaxed structure of CdSi2Te from Alexandria. Energies are from PBE.

Geometry as CIF:
```
data_CdSi2Te
_chemical_formula_sum 'Cd2 Si4 Te2'
_symmetry_space_group_name_H-M 'C m m m'
_symmetry_Int_Tables_number 65
_symmetry_space_group_name_Hall '-C 2 2'
_cell_length_a 6.363
_cell_length_b 7.459
_cell_length_c 3.598
_cell_angle_alpha 90.00
_cell_angle_beta 90.00
_cell_angle_gamma 90.00
loop_
_atom_site_label
_atom_site_fract_x
_atom_site_fract_y
_atom_site_fract_z
Cd1 0.000 0.000 0.000
Si1 0.250 0.250 0.500
Te1 0.000 0.500 0.000
```

Summary:
uncorrected energy = -3.1621 eV/atom
density of states at the Fermi level = 2.85 states/eV per cell
uncorrected formation energy = 0.564 eV/atom


Here is a relaxed structure of CdSiTe2 from Alexandria. Energies are from PBE.

Geometry as CIF:
```
data_CdSiTe2
_chemical_formula_sum 'Cd1 Si1 Te2'
_symmetry_space_group_name_H-M 'P 4 m m'
_symmetry_Int_Tables_number 99
_symmetry_space_group_name_Hall 'P 4 -2'
_cell_length_a 3.293
_cell_length_b 3.293
_cell_length_c 9.717
_cell_angle_alpha 90.00
_cell_angle_beta 90.00
_cell_angle_gamma 90.00
loop_
_atom_site_label
_atom_site_fract_x
_atom_site_fract_y
_atom_site_fract_z
Cd1 0.000 0.000 0.000
Si1 0.500 0.500 0.196
Te1 0.000 0.000 0.374
Te2 0.500 0.500 0.748
```

Summary:
uncorrected energy = -2.8366 eV/atom
density of states at the Fermi level = 1.54 states/eV per cell
uncorrected formation energy = 0.319 eV/atom


Here is a relaxed structure of CdSi2Te from Alexandria. Energies are from PBE.

Geometry as CIF:
```
data_CdSi2Te
_chemical_formula_sum 'Cd2 Si4 Te2'
_symmetry_space_group_name_H-M 'I 4/m m m'
_symmetry_Int_Tables_number 139
_symmetry_space_group_name_Hall '-I 4 2'
_cell_length_a 4.407
_cell_length_b 4.407
_cell_length_c 8.901
_cell_angle_alpha 90.00
_cell_angle_beta 90.00
_cell_angle_gamma 90.00
loop_
_atom_site_label
_atom_site_fract_x
_atom_site_fract_y
_atom_site_fract_z
Cd1 0.000 0.000 0.000
Si1 0.000 0.500 0.250
Te1 0.000 0.000 0.500
```

Summary:
uncorrected energy = -3.1122 eV/atom
density of states at the Fermi level = 3.53 states/eV per cell
uncorrected formation energy = 0.614 eV/atom


Here is a relaxed structure of CdSiTe2 from Alexandria. Energies are from PBE.

Geometry as CIF:
```
data_CdSiTe2
_chemical_formula_sum 'Cd4 Si4 Te8'
_symmetry_space_group_name_H-M 'F -4 3 m'
_symmetry_Int_Tables_number 216
_symmetry_space_group_name_Hall 'F -4 2 3'
_cell_length_a 7.360
_cell_length_b 7.360
_cell_length_c 7.360
_cell_angle_alpha 90.00
_cell_angle_beta 90.00
_cell_angle_gamma 90.00
loop_
_atom_site_label
_atom_site_fract_x
_atom_site_fract_y
_atom_site_fract_z
Cd1 0.000 0.000 0.000
Si1 0.250 0.250 0.250
Te1 0.000 0.000 0.500
Te2 0.250 0.250 0.750
```

Summary:
uncorrected energy = -2.6701 eV/atom
density of states at the Fermi level = 10.31 states/eV per cell
uncorrected formation energy = 0.485 eV/atom


Here is a relaxed structure of CdSiTe2 from Alexandria. Energies are from PBE.

Geometry as CIF:
```
data_CdSiTe2
_chemical_formula_sum 'Cd2 Si2 Te4'
_symmetry_space_group_name_H-M 'C 1 2/m 1'
_symmetry_Int_Tables_number 12
_symmetry_space_group_name_Hall '-C 2y'
_cell_length_a 6.271
_cell_length_b 10.598
_cell_length_c 3.236
_cell_angle_alpha 90.00
_cell_angle_beta 111.37
_cell_angle_gamma 90.00
loop_
_atom_site_label
_atom_site_fract_x
_atom_site_fract_y
_atom_site_fract_z
Cd1 0.000 0.000 0.000
Si1 0.000 0.500 0.000
Te1 0.250 0.250 0.500
```

Summary:
uncorrected energy = -2.7201 eV/atom
density of states at the Fermi level = 4.01 states/eV per cell
uncorrected formation energy = 0.435 eV/atom